The following is a PBE calculation of a geometry-optimized MgHgSb2 structure, from Alexandria.

Properties
Uncorrected formation energy   -28 meV per atom
M_tot   0.0 μB per cell

```
data_MgHgSb2
_cell_length_a 8.969
_cell_length_b 3.244
_cell_length_c 7.547
_cell_angle_alpha 90.00
_cell_angle_beta 96.35
_cell_angle_gamma 90.00
_space_group_name_H-M_alt 'C 1 m 1'
_space_group_IT_number 8
_space_group_name_Hall 'C -2y'
loop_
_atom_site_label
_atom_site_fract_x
_atom_site_fract_y
_atom_site_fract_z
Mg1 0.000 0.000 0.000
Hg1 0.202 0.500 0.235
Sb1 0.268 0.000 0.788
Sb2 0.434 0.000 0.479
```